# 1
A plane-wave DFT calculation with PBE-GGA was carried out for crystalline KBeNi4 at its relaxed geometry.

Cell lengths 4.901, 4.901, 4.901 Å; angles 60.00, 60.00, 60.00 degrees
Element x y z (fractional)
K: 0.000 0.000 0.000
Be: 0.250 0.250 0.250
Ni: 0.129 0.624 0.624
Ni: 0.624 0.129 0.624
Ni: 0.624 0.624 0.129
Ni: 0.624 0.624 0.624

Values from the calculation:
- formation energy (meV/atom) = 588.2
- calculated volume (Å³ per cell) = 83.2

***

# 2
A plane-wave DFT calculation with PBE-GGA was carried out for crystalline LaFe9B4 at its relaxed geometry.

Cell lengths 7.564, 7.564, 7.564 Å; angles 122.81, 119.68, 87.88 degrees
Element x y z (fractional)
La: 0.250 0.250 0.000
La: 0.750 0.750 0.000
Fe: 0.000 0.500 0.500
Fe: 0.053 0.551 0.231
Fe: 0.066 0.814 0.880
Fe: 0.180 0.949 0.502
Fe: 0.209 0.083 0.291
Fe: 0.291 0.583 0.874
Fe: 0.320 0.822 0.769
Fe: 0.434 0.314 0.748
Fe: 0.447 0.678 0.498
Fe: 0.500 0.000 0.500
Fe: 0.553 0.322 0.502
Fe: 0.566 0.686 0.252
Fe: 0.680 0.178 0.231
Fe: 0.709 0.417 0.126
Fe: 0.791 0.917 0.709
Fe: 0.820 0.051 0.498
Fe: 0.934 0.186 0.120
Fe: 0.947 0.449 0.769
B: 0.055 0.222 0.506
B: 0.216 0.722 0.167
B: 0.284 0.450 0.506
B: 0.445 0.950 0.167
B: 0.555 0.050 0.833
B: 0.716 0.550 0.494
B: 0.784 0.278 0.833
B: 0.945 0.778 0.494

Values from the calculation:
- formation energy (meV/atom) = -9.1
- calculated volume (Å³ per cell) = 299.8